[1]
# HfMgAg3 (PBE, optimized geometry)
data_HfMgAg3
_chemical_formula_sum 'Hf1 Mg1 Ag3'
_symmetry_space_group_name_H-M 'P m -3 m'
_symmetry_Int_Tables_number 221
_symmetry_space_group_name_Hall '-P 4 2 3'
_cell_length_a 4.751
_cell_length_b 4.751
_cell_length_c 4.751
_cell_angle_alpha 90.00
_cell_angle_beta 90.00
_cell_angle_gamma 90.00
loop_
_atom_site_label
_atom_site_type_symbol
_atom_site_fract_x
_atom_site_fract_y
_atom_site_fract_z
_atom_site_occupancy
Hf1 Hf 0.000 0.000 0.000 1
Mg1 Mg 0.500 0.500 0.500 1
Ag1 Ag 0.000 0.500 0.500 1
# Calculated total energy: -16.4 eV/f.u.
# ΔE to the lowest computed polymorph: 0 meV per atom

---

[2]
# Hf3Mg2Ag2 (PBE, optimized geometry)
data_Hf3Mg2Ag2
_chemical_formula_sum 'Hf6 Mg4 Ag4'
_symmetry_space_group_name_H-M 'C m m m'
_symmetry_Int_Tables_number 65
_symmetry_space_group_name_Hall '-C 2 2'
_cell_length_a 3.183
_cell_length_b 29.299
_cell_length_c 3.169
_cell_angle_alpha 90.00
_cell_angle_beta 90.00
_cell_angle_gamma 90.00
loop_
_atom_site_label
_atom_site_type_symbol
_atom_site_fract_x
_atom_site_fract_y
_atom_site_fract_z
_atom_site_occupancy
Hf1 Hf 0.000 0.000 0.000 1
Hf2 Hf 0.000 0.427 0.500 1
Mg1 Mg 0.000 0.297 0.500 1
Ag1 Ag 0.000 0.143 0.000 1
# Calculated total energy: -39.2 eV/f.u.

---

[3]
# HfMgAg3 (PBE, optimized geometry)
data_HfMgAg3
_chemical_formula_sum 'Hf1 Mg1 Ag3'
_symmetry_space_group_name_H-M 'P m -3 m'
_symmetry_Int_Tables_number 221
_symmetry_space_group_name_Hall '-P 4 2 3'
_cell_length_a 5.242
_cell_length_b 5.242
_cell_length_c 5.242
_cell_angle_alpha 90.00
_cell_angle_beta 90.00
_cell_angle_gamma 90.00
loop_
_atom_site_label
_atom_site_type_symbol
_atom_site_fract_x
_atom_site_fract_y
_atom_site_fract_z
_atom_site_occupancy
Hf1 Hf 0.000 0.000 0.000 1
Mg1 Mg 0.500 0.500 0.500 1
Ag1 Ag 0.000 0.000 0.500 1
# Calculated total energy: -15.1 eV/f.u.
# ΔE to the lowest computed polymorph: 257 meV per atom

---

[4]
# NaHfMgAg2 (PBE, optimized geometry)
data_NaHfMgAg2
_chemical_formula_sum 'Na1 Hf1 Mg1 Ag2'
_symmetry_space_group_name_H-M 'P 4/m m m'
_symmetry_Int_Tables_number 123
_symmetry_space_group_name_Hall '-P 4 2'
_cell_length_a 5.340
_cell_length_b 5.340
_cell_length_c 5.696
_cell_angle_alpha 90.00
_cell_angle_beta 90.00
_cell_angle_gamma 90.00
loop_
_atom_site_label
_atom_site_type_symbol
_atom_site_fract_x
_atom_site_fract_y
_atom_site_fract_z
_atom_site_occupancy
Na1 Na 0.000 0.000 0.000 1
Hf1 Hf 0.500 0.500 0.500 1
Mg1 Mg 0.500 0.500 0.000 1
Ag1 Ag 0.000 0.500 0.500 1
# Calculated total energy: -14.4 eV/f.u.

---

[5]
# Na2HfMgAg (PBE, optimized geometry)
data_Na2HfMgAg
_chemical_formula_sum 'Na2 Hf1 Mg1 Ag1'
_symmetry_space_group_name_H-M 'P 4/m m m'
_symmetry_Int_Tables_number 123
_symmetry_space_group_name_Hall '-P 4 2'
_cell_length_a 5.161
_cell_length_b 5.161
_cell_length_c 5.204
_cell_angle_alpha 90.00
_cell_angle_beta 90.00
_cell_angle_gamma 90.00
loop_
_atom_site_label
_atom_site_type_symbol
_atom_site_fract_x
_atom_site_fract_y
_atom_site_fract_z
_atom_site_occupancy
Na1 Na 0.000 0.500 0.000 1
Hf1 Hf 0.000 0.000 0.500 1
Mg1 Mg 0.500 0.500 0.500 1
Ag1 Ag 0.500 0.500 0.000 1
# Calculated total energy: -12.7 eV/f.u.

---

[6]
# Hf2MgAgO (PBE, optimized geometry)
data_Hf2MgAgO
_chemical_formula_sum 'Hf2 Mg1 Ag1 O1'
_symmetry_space_group_name_H-M 'P 4/m m m'
_symmetry_Int_Tables_number 123
_symmetry_space_group_name_Hall '-P 4 2'
_cell_length_a 4.377
_cell_length_b 4.377
_cell_length_c 4.377
_cell_angle_alpha 90.00
_cell_angle_beta 90.00
_cell_angle_gamma 90.00
loop_
_atom_site_label
_atom_site_type_symbol
_atom_site_fract_x
_atom_site_fract_y
_atom_site_fract_z
_atom_site_occupancy
Hf1 Hf 0.000 0.500 0.000 1
Mg1 Mg 0.000 0.000 0.500 1
Ag1 Ag 0.500 0.500 0.500 1
O1 O 0.000 0.000 0.000 1
# Raw formation energy: -0.893 eV/atom
# Calculated total energy: -33.8 eV/f.u.

---

- Look up the calculated total energy of the sixth one.
  -33.8 eV/f.u.

---

Please write out number 2 again, unchanged.
# Hf3Mg2Ag2 (PBE, optimized geometry)
data_Hf3Mg2Ag2
_chemical_formula_sum 'Hf6 Mg4 Ag4'
_symmetry_space_group_name_H-M 'C m m m'
_symmetry_Int_Tables_number 65
_symmetry_space_group_name_Hall '-C 2 2'
_cell_length_a 3.183
_cell_length_b 29.299
_cell_length_c 3.169
_cell_angle_alpha 90.00
_cell_angle_beta 90.00
_cell_angle_gamma 90.00
loop_
_atom_site_label
_atom_site_type_symbol
_atom_site_fract_x
_atom_site_fract_y
_atom_site_fract_z
_atom_site_occupancy
Hf1 Hf 0.000 0.000 0.000 1
Hf2 Hf 0.000 0.427 0.500 1
Mg1 Mg 0.000 0.297 0.500 1
Ag1 Ag 0.000 0.143 0.000 1
# Calculated total energy: -39.2 eV/f.u.

---

- Among the records above, which one has the lowest calculated total energy?
  Hf3Mg2Ag2